# 1
# CeNd2Al6

A geometry-optimized CeNd2Al6 structure (GGA-PBE, Alexandria).

Lattice parameters (Å, degrees): 7.9915 7.9915 3.6744 90.00 90.00 120.00
Positions (direct):
Ce 0.0000 0.0000 0.0000
Nd 0.3333 0.6667 0.0000
Nd 0.6667 0.3333 0.0000
Al 0.0000 0.3318 0.5000
Al 0.0000 0.6682 0.5000
Al 0.3318 0.0000 0.5000
Al 0.3318 0.3318 0.5000
Al 0.6682 0.0000 0.5000
Al 0.6682 0.6682 0.5000

Formation energy from the elements: -10.4 kcal/mol of atoms
Total DFT energy (no corrections): -0.1715 Ha/atom



# 2
# Mn2CoPb

A geometry-optimized Mn2CoPb structure (GGA-PBE, Alexandria).

Lattice parameters (Å, degrees): 8.7936 8.7936 8.7936 19.97 19.97 19.97
Positions (direct):
Mn 0.0000 0.0000 0.0000
Mn 0.2515 0.2515 0.2515
Co 0.5171 0.5171 0.5171
Pb 0.7645 0.7645 0.7645

Formation energy from the elements: 15.2 kcal/mol of atoms
Total DFT energy (no corrections): -0.2437 Ha/atom
Energy above the most stable polymorph in this dataset: 0.342 eV/atom



# 3
# Ho3TmSb3

A geometry-optimized Ho3TmSb3 structure (GGA-PBE, Alexandria).

Lattice parameters (Å, degrees): 7.9777 7.9777 7.9777 67.60 67.60 67.60
Positions (direct):
Ho 0.0866 0.3416 0.8239
Ho 0.1761 0.9134 0.6584
Ho 0.3416 0.8239 0.0866
Ho 0.6584 0.1761 0.9134
Ho 0.8239 0.0866 0.3416
Ho 0.9134 0.6584 0.1761
Tm 0.3338 0.3338 0.3338
Tm 0.6662 0.6662 0.6662
Sb 0.0783 0.6949 0.4732
Sb 0.3051 0.5268 0.9217
Sb 0.4732 0.0783 0.6949
Sb 0.5268 0.9217 0.3051
Sb 0.6949 0.4732 0.0783
Sb 0.9217 0.3051 0.5268

Total DFT energy (no corrections): -0.1926 Ha/atom
Energy above the most stable polymorph in this dataset: 0.085 eV/atom



# 4
# TlSnP2O6

A geometry-optimized TlSnP2O6 structure (GGA-PBE, Alexandria).

Lattice parameters (Å, degrees): 7.4830 7.4830 6.2257 101.51 101.51 86.80
Positions (direct):
Tl 0.1249 0.8751 0.7500
Tl 0.8751 0.1249 0.2500
Sn 0.3404 0.6596 0.2500
Sn 0.6596 0.3404 0.7500
P 0.1608 0.3351 0.7816
P 0.3351 0.1608 0.2816
P 0.6649 0.8392 0.7184
P 0.8392 0.6649 0.2184
O 0.0467 0.6975 0.2916
O 0.2149 0.2689 0.1131
O 0.2150 0.5354 0.8511
O 0.2689 0.2149 0.6131
O 0.3025 0.9533 0.2084
O 0.4646 0.7850 0.6489
O 0.5354 0.2150 0.3511
O 0.6975 0.0467 0.7916
O 0.7311 0.7851 0.3869
O 0.7850 0.4646 0.1489
O 0.7851 0.7311 0.8869
O 0.9533 0.3025 0.7084

Total DFT energy (no corrections): -0.2285 Ha/atom



# 5
# Be2Zn2Ni5B

A geometry-optimized Be2Zn2Ni5B structure (GGA-PBE, Alexandria).

Lattice parameters (Å, degrees): 8.9254 8.9254 2.5549 90.00 90.00 90.00
Positions (direct):
Be 0.1360 0.3640 0.0000
Be 0.3640 0.8640 0.0000
Be 0.6360 0.1360 0.0000
Be 0.8640 0.6360 0.0000
Zn 0.1760 0.6760 0.0000
Zn 0.3240 0.1760 0.0000
Zn 0.6760 0.8240 0.0000
Zn 0.8240 0.3240 0.0000
Ni 0.0000 0.5000 0.5000
Ni 0.0450 0.1886 0.5000
Ni 0.1886 0.9550 0.5000
Ni 0.3114 0.4550 0.5000
Ni 0.4550 0.6886 0.5000
Ni 0.5000 0.0000 0.5000
Ni 0.5450 0.3114 0.5000
Ni 0.6886 0.5450 0.5000
Ni 0.8114 0.0450 0.5000
Ni 0.9550 0.8114 0.5000
B 0.0000 0.0000 0.0000
B 0.5000 0.5000 0.0000

Formation energy from the elements: -4.9 kcal/mol of atoms
Total DFT energy (no corrections): -0.1753 Ha/atom



# 6
# VZn2AgP

A geometry-optimized VZn2AgP structure (GGA-PBE, Alexandria).

Lattice parameters (Å, degrees): 4.7359 4.7359 4.7820 90.00 90.00 90.00
Positions (direct):
V 0.0000 0.0000 0.0000
Zn 0.0000 0.5000 0.5000
Zn 0.5000 0.0000 0.5000
Ag 0.5000 0.5000 0.5000
P 0.5000 0.5000 0.0000

Formation energy from the elements: 26.9 kcal/mol of atoms
Total DFT energy (no corrections): -0.1036 Ha/atom



# 7
# NbPRuS2

A geometry-optimized NbPRuS2 structure (GGA-PBE, Alexandria).

Lattice parameters (Å, degrees): 4.5516 4.5516 4.4885 90.00 90.00 90.00
Positions (direct):
Nb 0.0000 0.0000 0.0000
P 0.5000 0.5000 0.0000
Ru 0.5000 0.5000 0.5000
S 0.0000 0.5000 0.5000
S 0.5000 0.0000 0.5000

Total DFT energy (no corrections): -0.2175 Ha/atom
Energy above the most stable polymorph in this dataset: 0.000 eV/atom



# 8
# CaInHg

A geometry-optimized CaInHg structure (GGA-PBE, Alexandria).

Lattice parameters (Å, degrees): 5.0040 5.0040 3.6621 90.00 90.00 120.00
Positions (direct):
Ca 0.0000 0.0000 0.0000
In 0.3333 0.6667 0.5000
Hg 0.6667 0.3333 0.5000

Formation energy from the elements: -10.3 kcal/mol of atoms
Total DFT energy (no corrections): -0.0781 Ha/atom



# 9
# CrSiTe

A geometry-optimized CrSiTe structure (GGA-PBE, Alexandria).

Lattice parameters (Å, degrees): 6.2728 6.2728 6.2728 151.38 151.38 40.92
Positions (direct):
Cr 0.0000 0.0000 0.0000
Si 0.6013 0.6013 0.0000
Te 0.3590 0.3590 0.0000

Total DFT energy (no corrections): -0.2095 Ha/atom
Energy above the most stable polymorph in this dataset: 0.085 eV/atom



# 10
# TaZnN2O

A geometry-optimized TaZnN2O structure (GGA-PBE, Alexandria).

Lattice parameters (Å, degrees): 4.0937 4.0937 3.9114 90.00 90.00 90.00
Positions (direct):
Ta 0.0000 0.0000 0.0000
Zn 0.5000 0.5000 0.5000
N 0.0000 0.5000 0.0000
N 0.5000 0.0000 0.0000
O 0.0000 0.0000 0.5000

Total DFT energy (no corrections): -0.2663 Ha/atom



# 11
# RbSmEu2

A geometry-optimized RbSmEu2 structure (GGA-PBE, Alexandria).

Lattice parameters (Å, degrees): 14.3369 14.3369 14.3369 15.58 15.58 15.58
Positions (direct):
Rb 0.0000 0.0000 0.0000
Sm 0.5000 0.5000 0.5000
Eu 0.0955 0.0955 0.0955
Eu 0.9045 0.9045 0.9045

Formation energy from the elements: 4.8 kcal/mol of atoms
Total DFT energy (no corrections): -0.2333 Ha/atom
Energy above the most stable polymorph in this dataset: 0.032 eV/atom



# 12
# CrRuRh2

A geometry-optimized CrRuRh2 structure (GGA-PBE, Alexandria).

Lattice parameters (Å, degrees): 2.6849 3.7940 5.3459 90.00 90.00 90.00
Positions (direct):
Cr 0.0000 0.0000 0.0000
Ru 0.0000 0.0000 0.5000
Rh 0.5000 0.5000 0.2463
Rh 0.5000 0.5000 0.7537

Formation energy from the elements: 0.1 kcal/mol of atoms
Total DFT energy (no corrections): -0.3086 Ha/atom



# 13
# Zr2TeAs

A geometry-optimized Zr2TeAs structure (GGA-PBE, Alexandria).

Lattice parameters (Å, degrees): 5.9157 5.9157 5.9157 144.51 132.01 61.09
Positions (direct):
Zr 0.0000 0.0000 0.0000
Zr 0.7228 0.2228 0.5000
Te 0.4915 0.4915 0.0000
As 0.2062 0.7062 0.5000

Total DFT energy (no corrections): -0.2489 Ha/atom
Energy above the most stable polymorph in this dataset: 0.421 eV/atom